The following is a PBE with a Hubbard U calculation of Zn3Fe8CoO16 after structural relaxation, from the Alexandria database.

Cell: 5.8838 5.8838 8.2052 Å, 90.00 90.00 90.00°
Closest atoms and distances in Å follow each position.
Sites, in units of the cell vectors:
O 0.2775 0.5000 0.3870  3 Fe 1.96-1.97, 1 Zn 1.98
O 0.7776 0.0000 0.8867  3 Fe 1.96-1.97, 1 Zn 1.98
Zn 0.5000 0.0000 0.7494  4 O 1.98
Fe 0.5000 0.7500 0.3747  6 O 1.96-1.97
O 0.0000 0.2775 0.6373  3 Fe 1.96-1.97, 1 Zn 1.98
O 0.5000 0.2775 0.6130  3 Fe 1.96-1.97, 1 Zn 1.98
O 0.7762 0.5000 0.8640  3 Fe 1.96-1.98, 1 Co 1.97
O 0.2775 0.0000 0.3627  3 Fe 1.96-1.97, 1 Zn 1.98
Fe 0.5000 0.2500 0.3747  6 O 1.96-1.97
O 0.2238 0.5000 0.8640  3 Fe 1.96-1.98, 1 Co 1.97
O 0.7225 0.0000 0.3627  3 Fe 1.96-1.97, 1 Zn 1.98
O 0.7225 0.5000 0.3870  3 Fe 1.96-1.97, 1 Zn 1.98
Fe 0.0000 0.2503 0.8752  6 O 1.96-1.98
O 0.0000 0.7776 0.1133  3 Fe 1.96-1.97, 1 Zn 1.98
O 0.0000 0.7225 0.6373  3 Fe 1.96-1.97, 1 Zn 1.98
O 0.2224 0.0000 0.8867  3 Fe 1.96-1.97, 1 Zn 1.98
Zn 0.0000 0.5000 0.2506  4 O 1.98
O 0.5000 0.7225 0.6130  3 Fe 1.96-1.97, 1 Zn 1.98
O 0.0000 0.2224 0.1133  3 Fe 1.96-1.97, 1 Zn 1.98
Fe 0.7500 0.5000 0.6253  6 O 1.96-1.97
Fe 0.2503 0.0000 0.1248  6 O 1.96-1.98
O 0.5000 0.2238 0.1360  3 Fe 1.96-1.98, 1 Co 1.97
Fe 0.7497 0.0000 0.1248  6 O 1.96-1.98
Zn 0.0000 0.0000 0.5000  4 O 1.98
Co 0.5000 0.5000 0.0000  4 O 1.97
Fe 0.2500 0.5000 0.6253  6 O 1.96-1.97
Fe 0.0000 0.7497 0.8752  6 O 1.96-1.98
O 0.5000 0.7762 0.1360  3 Fe 1.96-1.98, 1 Co 1.97

Output
* final energy: -0.428 Ry/atom